# NaVCdO4 PBE with a Hubbard U optimized geometry
# - Fermi-level density of states (states/eV/atom) = 0.000
# - distance to the lowest polymorph of the same formula (meV per atom) = 0
# - DFT total energy (eV per atom) = -5.95
data_NaVCdO4
_chemical_formula_sum 'Na4 V4 Cd4 O16'
_symmetry_space_group_name_H-M 'C m c m'
_symmetry_Int_Tables_number 63
_symmetry_space_group_name_Hall '-C 2c 2'
_cell_length_a 5.9450
_cell_length_b 9.3106
_cell_length_c 7.1287
_cell_angle_alpha 90.00
_cell_angle_beta 90.00
_cell_angle_gamma 90.00
loop_
_atom_site_label
_atom_site_fract_x
_atom_site_fract_y
_atom_site_fract_z
Na1 0.0000 0.1809 0.2500
V1 0.0000 0.1506 0.7500
Cd1 0.0000 0.5000 0.0000
O1 0.0000 0.2586 0.5551
O2 0.2417 0.0378 0.7500